Crystalline AcYSi2Pt4 at its relaxed geometry, computed with GGA-PBE.

Cell: 4.1670 4.1670 9.4991 Å, 90.00 90.00 90.00°
Space group P4/mmm (No. 123)
Inequivalent atoms, fractional coordinates:
Ac (0.0000, 0.0000, 0.0000) [1 per cell]
Y (0.0000, 0.0000, 0.5000) [1 per cell]
Si (0.5000, 0.5000, 0.3778) [2 per cell]
Pt (0.0000, 0.5000, 0.2505) [4 per cell]

Output
**Energy relative to the elements, uncorrected**: -0.96 eV/atom

***

Crystalline NdGdBiI at its relaxed geometry, computed with GGA-PBE.

Cell: 7.8587 7.8587 7.8587 Å, 90.00 90.00 90.00°
Space group F-43m (No. 216)
Inequivalent atoms, fractional coordinates:
Nd (0.0000, 0.0000, 0.0000) [4 per cell]
Gd (0.0000, 0.0000, 0.5000) [4 per cell]
Bi (0.2500, 0.2500, 0.2500) [4 per cell]
I (0.2500, 0.2500, 0.7500) [4 per cell]

Output
**Energy relative to the elements, uncorrected**: -0.83 eV/atom

***

Crystalline HfPa2CoN5 at its relaxed geometry, computed with GGA-PBE.

Cell: 3.2994 12.9465 10.1830 Å, 90.00 90.00 90.00°
Space group Cmc2_1 (No. 36)
Inequivalent atoms, fractional coordinates:
Hf (0.0000, 0.1971, 0.0000) [4 per cell]
Pa (0.0000, 0.1050, 0.6737) [4 per cell]
Pa (0.0000, 0.1412, 0.2991) [4 per cell]
Co (0.0000, 0.4784, 0.4482) [4 per cell]
N (0.0000, 0.0445, 0.0602) [4 per cell]
N (0.0000, 0.2814, 0.6550) [4 per cell]
N (0.0000, 0.3239, 0.3609) [4 per cell]
N (0.0000, 0.3675, 0.9874) [4 per cell]
N (0.0000, 0.4862, 0.7665) [4 per cell]

Output
**Energy relative to the elements, uncorrected**: -1.26 eV/atom

***

Crystalline Mg3Cd2Ga at its relaxed geometry, computed with GGA-PBE.

Cell: 4.5494 13.7066 8.0635 Å, 90.00 90.00 90.00°
Space group Cmmm (No. 65)
Inequivalent atoms, fractional coordinates:
Mg (0.0000, 0.0000, 0.2454) [4 per cell]
Mg (0.0000, 0.3307, 0.2355) [8 per cell]
Cd (0.0000, 0.1678, 0.5000) [4 per cell]
Cd (0.0000, 0.5000, 0.0000) [2 per cell]
Cd (0.0000, 0.5000, 0.5000) [2 per cell]
Ga (0.0000, 0.1630, 0.0000) [4 per cell]

Output
**Distance to the lowest polymorph of the same formula**: 0 meV per atom

***

Crystalline ZnTc4 at its relaxed geometry, computed with GGA-PBE.

Cell: 3.9387 3.9387 11.0725 Å, 90.00 90.00 90.00°
Space group I4/mmm (No. 139)
Inequivalent atoms, fractional coordinates:
Zn (0.0000, 0.0000, 0.0000) [2 per cell]
Tc (0.0000, 0.0000, 0.3916) [4 per cell]
Tc (0.0000, 0.5000, 0.2500) [4 per cell]

Output
**Distance to the lowest polymorph of the same formula**: 406 meV per atom

***

Crystalline Zr2TcRu at its relaxed geometry, computed with GGA-PBE.

Cell: 3.3922 4.2172 5.0146 Å, 90.00 90.00 90.00°
Space group Pmmm (No. 47)
Inequivalent atoms, fractional coordinates:
Zr (0.0000, 0.0000, 0.0000) [1 per cell]
Zr (0.5000, 0.0000, 0.5000) [1 per cell]
Tc (0.0000, 0.5000, 0.5000) [1 per cell]
Ru (0.5000, 0.5000, 0.0000) [1 per cell]

***

Crystalline AlCrP2Os at its relaxed geometry, computed with GGA-PBE.

Cell: 4.2684 4.2684 4.5787 Å, 90.00 90.00 90.00°
Space group P4/mmm (No. 123)
Inequivalent atoms, fractional coordinates:
Al (0.0000, 0.0000, 0.0000) [1 per cell]
Cr (0.0000, 0.0000, 0.5000) [1 per cell]
P (0.0000, 0.5000, 0.5000) [2 per cell]
Os (0.5000, 0.5000, 0.0000) [1 per cell]

***

Crystalline IrRuPtRh3 at its relaxed geometry, computed with GGA-PBE.

Cell: 3.8557 11.6272 7.7213 Å, 90.00 90.00 90.00°
Space group Cmcm (No. 63)
Inequivalent atoms, fractional coordinates:
Ir (0.0000, 0.0015, 0.2500) [4 per cell]
Ru (0.0000, 0.5000, 0.0000) [4 per cell]
Pt (0.0000, 0.3344, 0.2500) [4 per cell]
Rh (0.0000, 0.1622, 0.0016) [8 per cell]
Rh (0.0000, 0.3387, 0.7500) [4 per cell]

***

Crystalline AcHoRh at its relaxed geometry, computed with GGA-PBE.

Cell: 7.1104 7.1104 7.1104 Å, 90.00 90.00 90.00°
Space group F-43m (No. 216)
Inequivalent atoms, fractional coordinates:
Ac (0.0000, 0.0000, 0.0000) [4 per cell]
Ho (0.0000, 0.0000, 0.5000) [4 per cell]
Rh (0.2500, 0.2500, 0.7500) [4 per cell]

Output
**Distance to the lowest polymorph of the same formula**: 138 meV per atom

***

Crystalline SrVCrMo2 at its relaxed geometry, computed with GGA-PBE.

Cell: 4.7074 4.7074 4.4399 Å, 90.00 90.00 90.00°
Space group P4/mmm (No. 123)
Inequivalent atoms, fractional coordinates:
Sr (0.0000, 0.0000, 0.0000) [1 per cell]
V (0.0000, 0.0000, 0.5000) [1 per cell]
Cr (0.5000, 0.5000, 0.5000) [1 per cell]
Mo (0.0000, 0.5000, 0.0000) [2 per cell]

***

Crystalline Ba2HfZrSe at its relaxed geometry, computed with GGA-PBE.

Cell: 6.4722 6.4722 5.0355 Å, 90.00 90.00 90.00°
Space group P4/mmm (No. 123)
Inequivalent atoms, fractional coordinates:
Ba (0.0000, 0.5000, 0.0000) [2 per cell]
Hf (0.0000, 0.0000, 0.5000) [1 per cell]
Zr (0.5000, 0.5000, 0.0000) [1 per cell]
Se (0.5000, 0.5000, 0.5000) [1 per cell]

Output
**Energy relative to the elements, uncorrected**: 0.74 eV/atom

***

Crystalline Sc5Co at its relaxed geometry, computed with GGA-PBE.

Cell: 11.0352 3.2888 7.6137 Å, 90.00 111.57 90.00°
Space group C2/m (No. 12)
Inequivalent atoms, fractional coordinates:
Sc (0.0000, 0.0000, 0.0000) [2 per cell]
Sc (0.1318, 0.5000, 0.3714) [4 per cell]
Sc (0.1667, 0.5000, 0.7893) [4 per cell]
Co (0.0000, 0.0000, 0.5000) [2 per cell]

Output
**Distance to the lowest polymorph of the same formula**: 0 meV per atom

***

Number 1: E -53.3 eV/cell. Number 2: E -110.4 eV/cell. Number 3: E -356.0 eV/cell. Number 4: E -41.2 eV/cell. Number 5: E -80.6 eV/cell. Number 6: E -37.4 eV/cell. Number 7: E -30.3 eV/cell. Number 8: E -185.4 eV/cell. Number 9: E -69.4 eV/cell. Number 10: E -26.3 eV/cell. Number 11: E -22.1 eV/cell. Number 12: E -78.8 eV/cell.